[1]
This record from the Alexandria database describes RbTlSb2 after structural relaxation. The functional is GGA-PBE.

Results
**Uncorrected formation energy**: 0.172 eV per atom

```
RbTlSb2
1.0
0.000 4.071 4.071
4.071 0.000 4.071
4.071 4.071 0.000
Rb Tl Sb
1 1 2
Cartesian
0.000 0.000 0.000 Rb
4.071 4.071 4.071 Tl
2.035 2.035 2.035 Sb
6.106 6.106 6.106 Sb
```

***

[2]
This record from the Alexandria database describes ZnGaRh2 after structural relaxation. The functional is GGA-PBE.

Results
**Calculated formation energy**: -0.401 eV/atom

```
ZnGaRh2
1.0
1.437 0.830 8.054
-1.437 0.830 8.054
0.000 -1.659 8.054
Zn Ga Rh
1 1 2
Cartesian
0.000 0.000 0.000 Zn
0.000 0.000 4.027 Ga
0.000 0.000 14.042 Rh
0.000 0.000 18.176 Rh
```